! CdW3O PBE+U relaxed; values from VASP
&SYSTEM
  ibrav = 0, nat = 5, ntyp = 3
/
ATOMIC_SPECIES
O 16.00 O.upf
W 183.84 W.upf
Cd 112.41 Cd.upf
CELL_PARAMETERS angstrom
5.3310 0.0000 0.0000
0.0000 5.3310 0.0000
0.0000 0.0000 5.3310
ATOMIC_POSITIONS angstrom
O 2.6655 2.6655 2.6655
W 0.0000 2.6655 0.0000
W 0.0000 0.0000 2.6655
W 2.6655 0.0000 0.0000
Cd 0.0000 0.0000 0.0000
! Total magnetic moment, μB/f.u.: 10.27
! Calculated density, g/cm³: 7.45
! Offset from the most stable computed form, kcal/mol of atoms: 47.65